1.
# NiBi3W, optimized geometry, DFT PBE-GGA
data_NiBi3W
_chemical_formula_sum 'Ni1 Bi3 W1'
_cell_length_a 5.088
_cell_length_b 5.088
_cell_length_c 5.088
_cell_angle_alpha 90.00
_cell_angle_beta 90.00
_cell_angle_gamma 90.00
_space_group_name_H-M_alt 'P m -3 m'
_space_group_IT_number 221
_space_group_name_Hall '-P 4 2 3'
loop_
_atom_site_label
_atom_site_type_symbol
_atom_site_fract_x
_atom_site_fract_y
_atom_site_fract_z
Ni1 Ni 0.000 0.000 0.000
Bi1 Bi 0.000 0.000 0.500
W1 W 0.500 0.500 0.500
# * DFT formation energy: 1.16 eV per atom
# * polymorph energy (0 for the lowest one): 0 meV/atom


2.
# MnIBr, optimized geometry, DFT PBE-GGA
data_MnIBr
_chemical_formula_sum 'Mn4 I4 Br4'
_cell_length_a 7.441
_cell_length_b 8.035
_cell_length_c 6.971
_cell_angle_alpha 90.00
_cell_angle_beta 93.27
_cell_angle_gamma 90.00
_space_group_name_H-M_alt 'P 1 21/c 1'
_space_group_IT_number 14
loop_
_space_group_symop_operation_xyz
'x,y,z'
'-x,-y,-z'
'-x,y+1/2,-z+1/2'
'x,-y+1/2,z+1/2'
loop_
_atom_site_label
_atom_site_type_symbol
_atom_site_fract_x
_atom_site_fract_y
_atom_site_fract_z
Mn1 Mn 0.003 0.125 0.244
I1 I 0.233 0.119 0.596
Br1 Br 0.193 0.629 0.597
# * formation energy from raw total energies: -0.605 eV/atom


3.
# La3Nd7Cd, optimized geometry, DFT PBE-GGA
data_La3Nd7Cd
_chemical_formula_sum 'La6 Nd14 Cd2'
_cell_length_a 12.848
_cell_length_b 11.586
_cell_length_c 6.000
_cell_angle_alpha 90.00
_cell_angle_beta 117.79
_cell_angle_gamma 90.00
_space_group_name_H-M_alt 'C 1 2/m 1'
_space_group_IT_number 12
loop_
_space_group_symop_operation_xyz
'x,y,z'
'-x,-y,-z'
'-x,y,-z'
'x,-y,z'
'x+1/2,y+1/2,z'
'-x+1/2,-y+1/2,-z'
'-x+1/2,y+1/2,-z'
'x+1/2,-y+1/2,z'
loop_
_atom_site_label
_atom_site_type_symbol
_atom_site_fract_x
_atom_site_fract_y
_atom_site_fract_z
La1 La 0.000 0.000 0.000
La2 La 0.000 0.210 0.500
Nd1 Nd 0.000 0.500 0.500
Nd2 Nd 0.190 0.211 0.189
Nd3 Nd 0.221 0.000 0.719
Cd1 Cd 0.000 0.500 0.000
# * DFT formation energy: 0.15 eV per atom


4.
# Zr2BeAsOs, optimized geometry, DFT PBE-GGA
data_Zr2BeAsOs
_chemical_formula_sum 'Zr2 Be1 As1 Os1'
_cell_length_a 5.059
_cell_length_b 5.059
_cell_length_c 4.178
_cell_angle_alpha 90.00
_cell_angle_beta 90.00
_cell_angle_gamma 90.00
_space_group_name_H-M_alt 'P 4/m m m'
_space_group_IT_number 123
_space_group_name_Hall '-P 4 2'
loop_
_atom_site_label
_atom_site_type_symbol
_atom_site_fract_x
_atom_site_fract_y
_atom_site_fract_z
Zr1 Zr 0.000 0.500 0.000
Be1 Be 0.000 0.000 0.500
As1 As 0.500 0.500 0.500
Os1 Os 0.000 0.000 0.000
# * DFT formation energy: 0.24 eV per atom


5.
# Li4Pu3SiN8, optimized geometry, DFT PBE-GGA
data_Li4Pu3SiN8
_chemical_formula_sum 'Li8 Pu6 Si2 N16'
_cell_length_a 11.332
_cell_length_b 6.361
_cell_length_c 6.158
_cell_angle_alpha 90.00
_cell_angle_beta 119.42
_cell_angle_gamma 90.00
_space_group_name_H-M_alt 'C 1 2/m 1'
_space_group_IT_number 12
loop_
_space_group_symop_operation_xyz
'x,y,z'
'-x,-y,-z'
'-x,y,-z'
'x,-y,z'
'x+1/2,y+1/2,z'
'-x+1/2,-y+1/2,-z'
'-x+1/2,y+1/2,-z'
'x+1/2,-y+1/2,z'
loop_
_atom_site_label
_atom_site_type_symbol
_atom_site_fract_x
_atom_site_fract_y
_atom_site_fract_z
Li1 Li 0.000 0.000 0.000
Li2 Li 0.000 0.500 0.000
Li3 Li 0.250 0.250 0.500
Pu1 Pu 0.000 0.000 0.500
Pu2 Pu 0.250 0.250 0.000
Si1 Si 0.000 0.500 0.500
N1 N 0.023 0.288 0.729
N2 N 0.219 0.000 0.194
N3 N 0.227 0.000 0.739
# * formation energy from raw total energies: -0.663 eV/atom


6.
Entry from Alexandria: an optimized crystal structure of Al3H7S (PBE-GGA).

Structure (CIF):
```
data_Al3H7S
_chemical_formula_sum 'Al3 H7 S1'
_cell_length_a 5.5811
_cell_length_b 5.5811
_cell_length_c 5.4387
_cell_angle_alpha 90.00
_cell_angle_beta 90.00
_cell_angle_gamma 120.00
_space_group_name_H-M_alt 'P 3 m 1'
_space_group_IT_number 156
loop_
_space_group_symop_operation_xyz
'x,y,z'
'-y,x-y,z'
'-x+y,-x,z'
'-y,-x,z'
'-x+y,y,z'
'x,x-y,z'
loop_
_atom_site_label
_atom_site_type_symbol
_atom_site_fract_x
_atom_site_fract_y
_atom_site_fract_z
Al1 Al 0.0015 0.5007 0.0000
H1 H 0.1903 0.3807 0.8291
H2 H 0.3722 0.1861 0.1362
H3 H 0.6667 0.3333 0.7965
S1 S 0.3333 0.6667 0.3053
```


7.
# Pr4ZnCoBr2, optimized geometry, DFT PBE-GGA
data_Pr4ZnCoBr2
_chemical_formula_sum 'Pr4 Zn1 Co1 Br2'
_cell_length_a 7.425
_cell_length_b 4.068
_cell_length_c 8.155
_cell_angle_alpha 90.00
_cell_angle_beta 107.05
_cell_angle_gamma 90.00
_space_group_name_H-M_alt 'P 1 2/m 1'
_space_group_IT_number 10
loop_
_space_group_symop_operation_xyz
'x,y,z'
'-x,-y,-z'
'-x,y,-z'
'x,-y,z'
loop_
_atom_site_label
_atom_site_type_symbol
_atom_site_fract_x
_atom_site_fract_y
_atom_site_fract_z
Pr1 Pr 0.224 0.000 0.294
Pr2 Pr 0.227 0.500 0.699
Zn1 Zn 0.500 0.500 0.500
Co1 Co 0.000 0.000 0.500
Br1 Br 0.000 0.500 0.000
Br2 Br 0.500 0.000 0.000
# * formation energy from raw total energies: -0.686 eV/atom


8.
# YNbSe2, optimized geometry, DFT PBE-GGA
data_YNbSe2
_chemical_formula_sum 'Y4 Nb4 Se8'
_cell_length_a 5.701
_cell_length_b 5.701
_cell_length_c 13.821
_cell_angle_alpha 90.00
_cell_angle_beta 90.00
_cell_angle_gamma 90.00
_space_group_name_H-M_alt 'I -4 2 d'
_space_group_IT_number 122
_space_group_name_Hall 'I -4 2bw'
loop_
_atom_site_label
_atom_site_type_symbol
_atom_site_fract_x
_atom_site_fract_y
_atom_site_fract_z
Y1 Y 0.000 0.000 0.000
Nb1 Nb 0.000 0.000 0.500
Se1 Se 0.209 0.250 0.625
# * formation energy from raw total energies: -0.626 eV/atom
# * polymorph energy (0 for the lowest one): 346 meV/atom


9.
# NdHo2Sn, optimized geometry, DFT PBE-GGA
data_NdHo2Sn
_chemical_formula_sum 'Nd1 Ho2 Sn1'
_cell_length_a 4.860
_cell_length_b 4.860
_cell_length_c 4.826
_cell_angle_alpha 90.00
_cell_angle_beta 90.00
_cell_angle_gamma 90.00
_space_group_name_H-M_alt 'P 4/m m m'
_space_group_IT_number 123
_space_group_name_Hall '-P 4 2'
loop_
_atom_site_label
_atom_site_type_symbol
_atom_site_fract_x
_atom_site_fract_y
_atom_site_fract_z
Nd1 Nd 0.000 0.000 0.000
Ho1 Ho 0.000 0.500 0.500
Sn1 Sn 0.500 0.500 0.000
# * DFT formation energy: -0.42 eV per atom
# * polymorph energy (0 for the lowest one): 1 meV/atom


10.
# NaPaSe, optimized geometry, DFT PBE-GGA
data_NaPaSe
_chemical_formula_sum 'Na4 Pa4 Se4'
_cell_length_a 15.461
_cell_length_b 3.376
_cell_length_c 5.847
_cell_angle_alpha 90.00
_cell_angle_beta 90.00
_cell_angle_gamma 90.00
_space_group_name_H-M_alt 'A m m 2'
_space_group_IT_number 38
loop_
_space_group_symop_operation_xyz
'x,y,z'
'-x,-y,z'
'-x,y,z'
'x,-y,z'
'x,y+1/2,z+1/2'
'-x,-y+1/2,z+1/2'
'-x,y+1/2,z+1/2'
'x,-y+1/2,z+1/2'
loop_
_atom_site_label
_atom_site_type_symbol
_atom_site_fract_x
_atom_site_fract_y
_atom_site_fract_z
Na1 Na 0.142 0.000 0.000
Pa1 Pa 0.360 0.000 0.667
Se1 Se 0.000 0.000 0.666
Se2 Se 0.500 0.000 0.001
# * formation energy from raw total energies: -0.272 eV/atom


11.
# Ac5Sn3Ge, optimized geometry, DFT PBE-GGA
data_Ac5Sn3Ge
_chemical_formula_sum 'Ac10 Sn6 Ge2'
_cell_length_a 10.1165
_cell_length_b 10.1165
_cell_length_c 7.2751
_cell_angle_alpha 90.00
_cell_angle_beta 90.00
_cell_angle_gamma 120.00
_space_group_name_H-M_alt 'P 63/m c m'
_space_group_IT_number 193
_space_group_name_Hall '-P 6c 2'
loop_
_atom_site_label
_atom_site_type_symbol
_atom_site_fract_x
_atom_site_fract_y
_atom_site_fract_z
Ac1 Ac 0.0000 0.2540 0.2500
Ac2 Ac 0.3333 0.6667 0.0000
Sn1 Sn 0.0000 0.3919 0.7500
Ge1 Ge 0.0000 0.0000 0.0000
# * DFT formation energy: -0.67 eV per atom


12.
# TbPrTh2N4, optimized geometry, DFT PBE-GGA
data_TbPrTh2N4
_chemical_formula_sum 'Tb1 Pr1 Th2 N4'
_cell_length_a 6.263
_cell_length_b 3.642
_cell_length_c 6.315
_cell_angle_alpha 90.00
_cell_angle_beta 109.56
_cell_angle_gamma 90.00
_space_group_name_H-M_alt 'P 1 2/m 1'
_space_group_IT_number 10
loop_
_space_group_symop_operation_xyz
'x,y,z'
'-x,-y,-z'
'-x,y,-z'
'x,-y,z'
loop_
_atom_site_label
_atom_site_type_symbol
_atom_site_fract_x
_atom_site_fract_y
_atom_site_fract_z
Tb1 Tb 0.000 0.000 0.000
Pr1 Pr 0.000 0.500 0.500
Th1 Th 0.500 0.000 0.500
Th2 Th 0.500 0.500 0.000
N1 N 0.256 0.500 0.245
N2 N 0.262 0.000 0.761
# * formation energy from raw total energies: -1.539 eV/atom


| no. | total energy (eV per atom) |
| --- | --- |
| 1 | -4.92 |
| 2 | -4.74 |
| 3 | -4.31 |
| 4 | -7.10 |
| 5 | -8.33 |
| 6 | -3.68 |
| 7 | -4.54 |
| 8 | -6.50 |
| 9 | -4.90 |
| 10 | -5.04 |
| 11 | -4.80 |
| 12 | -8.73 |